No. 1
# In4BiI2Br PBE-GGA optimized geometry
data_In4BiI2Br
_chemical_formula_sum 'In4 Bi1 I2 Br1'
_cell_length_a 8.087
_cell_length_b 4.763
_cell_length_c 8.186
_cell_angle_alpha 90.00
_cell_angle_beta 108.45
_cell_angle_gamma 90.00
_symmetry_space_group_name_H-M 'P 1 2/m 1'
_symmetry_Int_Tables_number 10
loop_
_symmetry_equiv_pos_as_xyz
'x,y,z'
'-x,-y,-z'
'-x,y,-z'
'x,-y,z'
loop_
_atom_site_label
_atom_site_fract_x
_atom_site_fract_y
_atom_site_fract_z
In1 0.220 0.000 0.212
In2 0.259 0.500 0.764
Bi1 0.000 0.500 0.000
I1 0.000 0.000 0.500
I2 0.500 0.500 0.500
Br1 0.500 0.000 0.000
# - VASP energy: -2.72 eV/atom
# - M_tot: 0.00 μB/f.u.

---

No. 2
# HoZrBeRu PBE-GGA optimized geometry
data_HoZrBeRu
_chemical_formula_sum 'Ho4 Zr4 Be4 Ru4'
_cell_length_a 6.648
_cell_length_b 6.648
_cell_length_c 6.648
_cell_angle_alpha 90.00
_cell_angle_beta 90.00
_cell_angle_gamma 90.00
_symmetry_space_group_name_H-M 'F -4 3 m'
_symmetry_Int_Tables_number 216
_symmetry_space_group_name_Hall 'F -4 2 3'
loop_
_atom_site_label
_atom_site_fract_x
_atom_site_fract_y
_atom_site_fract_z
Ho1 0.000 0.000 0.000
Zr1 0.000 0.000 0.500
Be1 0.250 0.250 0.750
Ru1 0.250 0.250 0.250
# - Energy of formation from the pure elements: -0.76 eV per formula unit
# - VASP energy: -6.72 eV/atom
# - M_tot: 0.00 μB/f.u.

---

No. 3
# Pm6DyHo3 PBE-GGA optimized geometry
data_Pm6DyHo3
_chemical_formula_sum 'Pm24 Dy4 Ho12'
_cell_length_a 10.983
_cell_length_b 19.261
_cell_length_c 6.313
_cell_angle_alpha 90.00
_cell_angle_beta 90.00
_cell_angle_gamma 90.00
_symmetry_space_group_name_H-M 'C m c 21'
_symmetry_Int_Tables_number 36
loop_
_symmetry_equiv_pos_as_xyz
'x,y,z'
'-x,-y,z+1/2'
'-x,y,z'
'x,-y,z+1/2'
'x+1/2,y+1/2,z'
'-x+1/2,-y+1/2,z+1/2'
'-x+1/2,y+1/2,z'
'x+1/2,-y+1/2,z+1/2'
loop_
_atom_site_label
_atom_site_fract_x
_atom_site_fract_y
_atom_site_fract_z
Pm1 0.000 0.038 0.000
Pm2 0.000 0.279 0.245
Pm3 0.168 0.458 0.346
Pm4 0.233 0.290 0.530
Dy1 0.000 0.197 0.776
Ho1 0.000 0.386 0.813
Ho2 0.169 0.114 0.428
# - Energy of formation from the pure elements: 1.44 eV per formula unit
# - VASP energy: -4.54 eV/atom
# - M_tot: 0.00 μB/f.u.
# - Distance to the lowest polymorph of the same formula: 18 meV per atom

---

No. 4
# HfTiTlZn PBE-GGA optimized geometry
data_HfTiTlZn
_chemical_formula_sum 'Hf4 Ti4 Tl4 Zn4'
_cell_length_a 6.753
_cell_length_b 6.753
_cell_length_c 6.753
_cell_angle_alpha 90.00
_cell_angle_beta 90.00
_cell_angle_gamma 90.00
_symmetry_space_group_name_H-M 'F -4 3 m'
_symmetry_Int_Tables_number 216
_symmetry_space_group_name_Hall 'F -4 2 3'
loop_
_atom_site_label
_atom_site_fract_x
_atom_site_fract_y
_atom_site_fract_z
Hf1 0.000 0.000 0.000
Ti1 0.000 0.000 0.500
Tl1 0.250 0.250 0.750
Zn1 0.250 0.250 0.250
# - Energy of formation from the pure elements: 0.41 eV per formula unit
# - VASP energy: -5.27 eV/atom
# - M_tot: 0.76 μB/f.u.